DFT (PBE with a Hubbard U) results for a geometry-optimized ZnCrAuF6 structure.

Structure (extended XYZ):
```
18
Lattice="-5.303 -0.860 -0.607 3.228 -4.033 1.596 -1.592 2.709 10.065" Properties=species:S:1:pos:R:3 pbc="T T T"
Zn -0.014 -2.298 3.378
Zn -3.654 0.113 7.676
Cr -2.857 -1.241 2.643
Cr -0.810 -0.944 8.411
Au 0.000 0.000 0.000
Au -0.796 1.354 5.033
F -1.613 -2.652 2.100
F -4.284 -1.905 1.477
F 0.221 -2.522 7.879
F 0.616 -0.280 9.577
F -1.398 -0.836 3.885
F -3.770 -2.401 3.931
F -1.476 -2.196 9.762
F -3.888 0.337 3.175
F 0.103 0.216 7.123
F -2.192 0.011 1.292
F -2.270 -1.349 7.169
F -2.055 0.467 8.953
```

Output
The space-group type is P-31c (163). Its volume is 14.8 Å³ per atom. The total energy comes out at -4.60 eV/atom.